The following is a DFT calculation (GGA-PBE) of an optimized crystal structure of Nb3InSi5.

Computed properties:
M_tot: 0.00 μB/f.u.
V: 177.5 Å³/f.u.
E: -59.7 eV/cell

Cell: 5.6400 5.6400 6.4437 Å, 90.00 90.00 120.00°
Space group P6/mmm (No. 191)
Symmetry-distinct sites (fractional):
Nb: 0.0000 0.5000 0.0000 x3
In: 0.0000 0.0000 0.5000 x1
Si: 0.0000 0.0000 0.0000 x1
Si: 0.3333 0.6667 0.3192 x4

***

The following is a DFT calculation (GGA-PBE) of an optimized crystal structure of Zr2Nb4Al3N3.

Computed properties:
M_tot: 0.00 μB/f.u.
V: 179.2 Å³/f.u.
E: -415.0 eV/cell

Cell: 9.4915 5.4860 14.1451 Å, 90.00 103.24 90.00°
Space group C2/c (No. 15)
Symmetry-distinct sites (fractional):
Zr: 0.0451 0.0821 0.3904 x8
Nb: 0.1102 0.4172 0.5807 x8
Nb: 0.2226 0.4158 0.9193 x8
Al: 0.0000 0.4500 0.7500 x4
Al: 0.2323 0.1489 0.7493 x8
N: 0.0773 0.2321 0.0000 x8
N: 0.2500 0.2500 0.5000 x4

***

The following is a DFT calculation (GGA-PBE) of an optimized crystal structure of HfSnN2O.

Computed properties:
M_tot: 0.00 μB/f.u.
V: 86.9 Å³/f.u.
E: -82.4 eV/cell

Cell: 5.6508 5.6664 5.9543 Å, 90.00 114.34 90.00°
Space group Cm (No. 8)
Symmetry-distinct sites (fractional):
Hf: 0.0000 0.0000 0.0000 x2
Sn: 0.1302 0.5000 0.2896 x2
N: 0.3173 0.2486 0.1458 x4
O: 0.3154 0.5000 0.6496 x2

***

The following is a DFT calculation (GGA-PBE) of an optimized crystal structure of TbGd2Ga3Ni3.

Computed properties:
M_tot: 0.06 μB/f.u.
V: 164.9 Å³/f.u.
E: -90.7 eV/cell

Cell: 3.7869 12.2815 7.0893 Å, 90.00 90.00 90.00°
Space group Amm2 (No. 38)
Symmetry-distinct sites (fractional):
Tb: 0.0000 0.0000 0.0000 x2
Gd: 0.0000 0.2062 0.3817 x4
Ga: 0.5000 0.0000 0.3422 x2
Ga: 0.5000 0.1220 0.7110 x4
Ni: 0.0000 0.0000 0.5884 x2
Ni: 0.5000 0.1661 0.0878 x4

***

The following is a DFT calculation (GGA-PBE) of an optimized crystal structure of Gd2AgSe3.

Computed properties:
Energy above the most stable polymorph in this dataset: 0.02 eV per formula unit
M_tot: 0.07 μB/f.u.
V: 145.9 Å³/f.u.
E: -122.7 eV/cell

Cell: 8.8866 3.9764 16.5186 Å, 90.00 90.00 90.00°
Space group Pnma (No. 62)
Symmetry-distinct sites (fractional):
Gd: 0.1234 0.2500 0.2102 x4
Gd: 0.1684 0.2500 0.9450 x4
Ag: 0.0491 0.2500 0.5582 x4
Se: 0.1225 0.2500 0.3858 x4
Se: 0.1227 0.2500 0.7672 x4
Se: 0.1554 0.7500 0.0766 x4

***

The following is a DFT calculation (GGA-PBE) of an optimized crystal structure of TbAlO3.

Computed properties:
M_tot: 0.00 μB/f.u.
V: 60.9 Å³/f.u.
E: -154.3 eV/cell

Cell: 5.3808 8.3928 5.3930 Å, 90.00 90.00 90.00°
Space group Pnma (No. 62)
Symmetry-distinct sites (fractional):
Tb: 0.0000 0.0000 0.0000 x4
Al: 0.0183 0.2500 0.4679 x4
O: 0.1403 0.0917 0.6387 x8
O: 0.1981 0.2500 0.1660 x4

***

Look up the E of the fifth one.
-122.7 eV/cell

***

Repeat the sixth record exactly.
The following is a DFT calculation (GGA-PBE) of an optimized crystal structure of TbAlO3.

Computed properties:
M_tot: 0.00 μB/f.u.
V: 60.9 Å³/f.u.
E: -154.3 eV/cell

Cell: 5.3808 8.3928 5.3930 Å, 90.00 90.00 90.00°
Space group Pnma (No. 62)
Symmetry-distinct sites (fractional):
Tb: 0.0000 0.0000 0.0000 x4
Al: 0.0183 0.2500 0.4679 x4
O: 0.1403 0.0917 0.6387 x8
O: 0.1981 0.2500 0.1660 x4

***

M_tot of number 4 (TbGd2Ga3Ni3)?
0.06 μB/f.u.

***

Which value of V does entry 1 give?
177.5 Å³/f.u.